Entry one
Here is an optimized crystal structure of KOsNF2 from Alexandria via LeMat-Bulk. Energies are from PBE-GGA.

Output
Theoretical density   6.39 g/cm³
SG   No. 123

Cell lengths 4.409, 4.409, 3.759 Å; angles 90.00, 90.00, 90.00 degrees
Element x y z (fractional)
K: 0.000 0.000 0.000
Os: 0.500 0.500 0.500
N: 0.500 0.500 0.000
F: 0.000 0.500 0.500
F: 0.500 0.000 0.500



Entry two
Here is an optimized crystal structure of KOsNF2 from Alexandria via LeMat-Bulk. Energies are from PBE-GGA.

Output
Theoretical density   4.56 g/cm³
SG   No. 123

Cell lengths 4.585, 4.585, 4.875 Å; angles 90.00, 90.00, 90.00 degrees
Element x y z (fractional)
K: 0.000 0.000 0.000
Os: 0.500 0.500 0.500
N: 0.000 0.000 0.500
F: 0.000 0.500 0.000
F: 0.500 0.000 0.000



It is entry one that is the most stable of them.



Entry one
Here is an optimized crystal structure of KPdNF2 from Alexandria via LeMat-Bulk. Energies are from PBE-GGA.

Output
Theoretical density   4.12 g/cm³
SG   No. 123

Cell lengths 4.653, 4.653, 3.682 Å; angles 90.00, 90.00, 90.00 degrees
Element x y z (fractional)
K: 0.000 0.000 0.000
Pd: 0.500 0.500 0.500
N: 0.500 0.500 0.000
F: 0.000 0.500 0.500
F: 0.500 0.000 0.500



Entry two
Here is an optimized crystal structure of KPdNF2 from Alexandria via LeMat-Bulk. Energies are from PBE-GGA.

Output
Theoretical density   2.78 g/cm³
SG   No. 123

Cell lengths 4.846, 4.846, 5.031 Å; angles 90.00, 90.00, 90.00 degrees
Element x y z (fractional)
K: 0.000 0.000 0.000
Pd: 0.500 0.500 0.500
N: 0.000 0.000 0.500
F: 0.000 0.500 0.000
F: 0.500 0.000 0.000



It is entry one that is the most stable of them.



Entry one
Here is an optimized crystal structure of KPtNF2 from Alexandria via LeMat-Bulk. Energies are from PBE-GGA.

Output
Theoretical density   5.80 g/cm³
SG   No. 123

Cell lengths 4.722, 4.722, 3.673 Å; angles 90.00, 90.00, 90.00 degrees
Element x y z (fractional)
K: 0.000 0.000 0.000
Pt: 0.500 0.500 0.500
N: 0.500 0.500 0.000
F: 0.000 0.500 0.500
F: 0.500 0.000 0.500



Entry two
Here is an optimized crystal structure of KPtNF2 from Alexandria via LeMat-Bulk. Energies are from PBE-GGA.

Output
Theoretical density   4.25 g/cm³
SG   No. 123

Cell lengths 4.752, 4.752, 4.951 Å; angles 90.00, 90.00, 90.00 degrees
Element x y z (fractional)
K: 0.000 0.000 0.000
Pt: 0.500 0.500 0.500
N: 0.000 0.000 0.500
F: 0.000 0.500 0.000
F: 0.500 0.000 0.000



It is entry one that is the most stable of them.



Entry one
Here is an optimized crystal structure of KRbN2F from Alexandria via LeMat-Bulk. Energies are from PBE-GGA.

Output
Theoretical density   1.82 g/cm³
SG   No. 123

Cell lengths 5.509, 5.509, 5.148 Å; angles 90.00, 90.00, 90.00 degrees
Element x y z (fractional)
K: 0.000 0.000 0.000
Rb: 0.500 0.500 0.500
N: 0.000 0.500 0.500
N: 0.500 0.000 0.500
F: 0.500 0.500 0.000



Entry two
Here is an optimized crystal structure of KRbN2F from Alexandria via LeMat-Bulk. Energies are from PBE-GGA.

Output
Theoretical density   2.05 g/cm³
SG   No. 123

Cell lengths 5.313, 5.313, 4.929 Å; angles 90.00, 90.00, 90.00 degrees
Element x y z (fractional)
K: 0.000 0.000 0.000
Rb: 0.500 0.500 0.500
N: 0.000 0.500 0.000
N: 0.500 0.000 0.000
F: 0.000 0.000 0.500



It is entry two that is the most stable of them.



Entry one
Here is an optimized crystal structure of KReNF2 from Alexandria via LeMat-Bulk. Energies are from PBE-GGA.

Output
Theoretical density   4.58 g/cm³
SG   No. 123

Cell lengths 4.494, 4.494, 4.977 Å; angles 90.00, 90.00, 90.00 degrees
Element x y z (fractional)
K: 0.000 0.000 0.000
Re: 0.500 0.500 0.500
N: 0.000 0.000 0.500
F: 0.000 0.500 0.000
F: 0.500 0.000 0.000



Entry two
Here is an optimized crystal structure of KReNF2 from Alexandria via LeMat-Bulk. Energies are from PBE-GGA.

Output
Theoretical density   6.33 g/cm³
SG   No. 123

Cell lengths 4.365, 4.365, 3.818 Å; angles 90.00, 90.00, 90.00 degrees
Element x y z (fractional)
K: 0.000 0.000 0.000
Re: 0.500 0.500 0.500
N: 0.500 0.500 0.000
F: 0.000 0.500 0.500
F: 0.500 0.000 0.500



It is entry two that is the most stable of them.



Entry one
Here is an optimized crystal structure of KRhN2F from Alexandria via LeMat-Bulk. Energies are from PBE-GGA.

Output
Theoretical density   2.66 g/cm³
SG   No. 123

Cell lengths 5.039, 5.039, 4.647 Å; angles 90.00, 90.00, 90.00 degrees
Element x y z (fractional)
K: 0.000 0.000 0.000
Rh: 0.500 0.500 0.500
N: 0.000 0.500 0.000
N: 0.500 0.000 0.000
F: 0.000 0.000 0.500



Entry two
Here is an optimized crystal structure of KRhN2F from Alexandria via LeMat-Bulk. Energies are from PBE-GGA.

Output
Theoretical density   3.88 g/cm³
SG   No. 123

Cell lengths 3.765, 3.765, 5.701 Å; angles 90.00, 90.00, 90.00 degrees
Element x y z (fractional)
K: 0.000 0.000 0.000
Rh: 0.500 0.500 0.500
N: 0.000 0.500 0.500
N: 0.500 0.000 0.500
F: 0.500 0.500 0.000



It is entry two that is the most stable of them.



Entry one
Here is an optimized crystal structure of KRuNF2 from Alexandria via LeMat-Bulk. Energies are from PBE-GGA.

Output
Theoretical density   2.98 g/cm³
SG   No. 123

Cell lengths 4.693, 4.693, 4.857 Å; angles 90.00, 90.00, 90.00 degrees
Element x y z (fractional)
K: 0.000 0.000 0.000
Ru: 0.500 0.500 0.500
N: 0.000 0.000 0.500
F: 0.000 0.500 0.000
F: 0.500 0.000 0.000



Entry two
Here is an optimized crystal structure of KRuNF2 from Alexandria via LeMat-Bulk. Energies are from PBE-GGA.

Output
Theoretical density   4.43 g/cm³
SG   No. 123

Cell lengths 4.397, 4.397, 3.725 Å; angles 90.00, 90.00, 90.00 degrees
Element x y z (fractional)
K: 0.000 0.000 0.000
Ru: 0.500 0.500 0.500
N: 0.500 0.500 0.000
F: 0.000 0.500 0.500
F: 0.500 0.000 0.500



It is entry two that is the most stable of them.



Entry one
Here is an optimized crystal structure of KS2NF from Alexandria via LeMat-Bulk. Energies are from PBE-GGA.

Output
Theoretical density   1.34 g/cm³
SG   No. 123

Cell lengths 5.570, 5.570, 5.432 Å; angles 90.00, 90.00, 90.00 degrees
Element x y z (fractional)
K: 0.000 0.000 0.000
S: 0.000 0.500 0.000
S: 0.500 0.000 0.000
N: 0.000 0.000 0.500
F: 0.500 0.500 0.500



Entry two
Here is an optimized crystal structure of KS2NF from Alexandria via LeMat-Bulk. Energies are from PBE-GGA.

Output
Theoretical density   2.21 g/cm³
SG   No. 123

Cell lengths 4.373, 4.373, 5.344 Å; angles 90.00, 90.00, 90.00 degrees
Element x y z (fractional)
K: 0.000 0.000 0.000
S: 0.000 0.500 0.500
S: 0.500 0.000 0.500
N: 0.500 0.500 0.000
F: 0.500 0.500 0.500



It is entry two that is the most stable of them.



Entry one
Here is an optimized crystal structure of KSiNF2 from Alexandria via LeMat-Bulk. Energies are from PBE-GGA.

Output
Theoretical density   3.27 g/cm³
SG   No. 123

Cell lengths 4.296, 4.296, 3.282 Å; angles 90.00, 90.00, 90.00 degrees
Element x y z (fractional)
K: 0.000 0.000 0.000
Si: 0.500 0.500 0.500
N: 0.500 0.500 0.000
F: 0.000 0.500 0.500
F: 0.500 0.000 0.500



Entry two
Here is an optimized crystal structure of KSiNF2 from Alexandria via LeMat-Bulk. Energies are from PBE-GGA.

Output
Theoretical density   1.86 g/cm³
SG   No. 123

Cell lengths 4.650, 4.650, 4.916 Å; angles 90.00, 90.00, 90.00 degrees
Element x y z (fractional)
K: 0.000 0.000 0.000
Si: 0.500 0.500 0.500
N: 0.000 0.000 0.500
F: 0.000 0.500 0.000
F: 0.500 0.000 0.000



It is entry one that is the most stable of them.



Entry one
Here is an optimized crystal structure of KSrN2F from Alexandria via LeMat-Bulk. Energies are from PBE-GGA.

Output
Theoretical density   2.35 g/cm³
SG   No. 123

Cell lengths 5.096, 5.096, 4.723 Å; angles 90.00, 90.00, 90.00 degrees
Element x y z (fractional)
K: 0.000 0.000 0.000
Sr: 0.500 0.500 0.500
N: 0.000 0.500 0.500
N: 0.500 0.000 0.500
F: 0.500 0.500 0.000



Entry two
Here is an optimized crystal structure of KSrN2F from Alexandria via LeMat-Bulk. Energies are from PBE-GGA.

Output
Theoretical density   2.61 g/cm³
SG   No. 123

Cell lengths 4.896, 4.896, 4.618 Å; angles 90.00, 90.00, 90.00 degrees
Element x y z (fractional)
K: 0.000 0.000 0.000
Sr: 0.500 0.500 0.500
N: 0.000 0.500 0.000
N: 0.500 0.000 0.000
F: 0.000 0.000 0.500



It is entry one that is the most stable of them.



Entry one
Here is an optimized crystal structure of KTeN2F from Alexandria via LeMat-Bulk. Energies are from PBE-GGA.

Output
Theoretical density   4.54 g/cm³
SG   No. 123

Cell lengths 4.029, 4.029, 4.815 Å; angles 90.00, 90.00, 90.00 degrees
Element x y z (fractional)
K: 0.000 0.000 0.000
Te: 0.500 0.500 0.500
N: 0.000 0.500 0.500
N: 0.500 0.000 0.500
F: 0.500 0.500 0.000



Entry two
Here is an optimized crystal structure of KTeN2F from Alexandria via LeMat-Bulk. Energies are from PBE-GGA.

Output
Theoretical density   2.87 g/cm³
SG   No. 123

Cell lengths 5.330, 5.330, 4.354 Å; angles 90.00, 90.00, 90.00 degrees
Element x y z (fractional)
K: 0.000 0.000 0.000
Te: 0.500 0.500 0.000
N: 0.000 0.500 0.500
N: 0.500 0.000 0.500
F: 0.500 0.500 0.500



Entry three
Here is an optimized crystal structure of KTeN2F from Alexandria via LeMat-Bulk. Energies are from PBE-GGA.

Output
Theoretical density   1.82 g/cm³
SG   No. 123

Cell lengths 5.271, 5.271, 7.005 Å; angles 90.00, 90.00, 90.00 degrees
Element x y z (fractional)
K: 0.000 0.000 0.000
Te: 0.000 0.000 0.500
N: 0.000 0.500 0.000
N: 0.500 0.000 0.000
F: 0.500 0.500 0.500



Entry four
Here is an optimized crystal structure of KTeN2F from Alexandria via LeMat-Bulk. Energies are from PBE-GGA.

Output
Theoretical density   2.84 g/cm³
SG   No. 123

Cell lengths 5.210, 5.210, 4.605 Å; angles 90.00, 90.00, 90.00 degrees
Element x y z (fractional)
K: 0.000 0.000 0.000
Te: 0.500 0.500 0.500
N: 0.000 0.500 0.000
N: 0.500 0.000 0.000
F: 0.000 0.000 0.500



It is entry one that is the most stable of them.



Entry one
Here is an optimized crystal structure of KTe2NF from Alexandria via LeMat-Bulk. Energies are from PBE-GGA.

Output
Theoretical density   3.37 g/cm³
SG   No. 123

Cell lengths 6.040, 6.040, 4.426 Å; angles 90.00, 90.00, 90.00 degrees
Element x y z (fractional)
K: 0.000 0.000 0.000
Te: 0.000 0.500 0.000
Te: 0.500 0.000 0.000
N: 0.000 0.000 0.500
F: 0.500 0.500 0.500



Entry two
Here is an optimized crystal structure of KTe2NF from Alexandria via LeMat-Bulk. Energies are from PBE-GGA.

Output
Theoretical density   4.01 g/cm³
SG   No. 123

Cell lengths 4.839, 4.839, 5.788 Å; angles 90.00, 90.00, 90.00 degrees
Element x y z (fractional)
K: 0.000 0.000 0.000
Te: 0.000 0.500 0.500
Te: 0.500 0.000 0.500
N: 0.500 0.500 0.000
F: 0.500 0.500 0.500



It is entry two that is the most stable of them.